DFT (PBE) results for an optimized crystal structure of KAg2N.

abc: 6.5473 6.5473 9.8363
angles: 90.00 90.00 90.00
Closest atoms and distances in Å follow each position.
Space group I4_1/amd (No. 141, origin choice 2)
Inequivalent atoms, fractional coordinates:
K1 0.0000 0.2500 0.3750 [4 per cell]  12 Ag 3.86-4.04, 4 K 4.09, 4 N 4.09
Ag1 0.0000 0.0000 0.0000 [8 per cell]  2 N 2.05
N1 0.0000 0.2500 0.8750 [4 per cell]  4 Ag 2.05

- formation energy (no corrections) (meV per atom) = 340